Density functional theory data (PBE-GGA) for a relaxed structure of Cd4In4Hg3.

For the density of states at the Fermi level, the calculation gives 7.3 states/eV per cell. For the energy above the most stable polymorph in this dataset, the calculation gives 0.27 eV/f.u. For the calculated formation energy, the calculation gives 39 kJ/mol of formula units.

The structure belongs to space group Amm2 (No. 38); the cell edges are 9.508, 4.506 and 13.300 Å and the angles 90.00°, 90.00° and 90.00°. The inequivalent atoms are Cd at (0.000, 0.000, 0.000), Cd at (0.249, 0.000, 0.851), Cd at (0.500, 0.000, 0.015), In at (0.000, 0.000, 0.698), In at (0.246, 0.000, 0.180), In at (0.500, 0.000, 0.681), Hg at (0.225, 0.000, 0.504) and Hg at (0.500, 0.000, 0.356).


Density functional theory data (PBE-GGA) for a relaxed structure of Nd6As4Pb.

For the density of states at the Fermi level, the calculation gives 15.6 states/eV per cell. For the calculated formation energy, the calculation gives -1312 kJ/mol of formula units.

The structure belongs to space group Cmcm (No. 63); the cell edges are 4.281, 14.102 and 21.765 Å and the angles 90.00°, 90.00° and 90.00°. The inequivalent atoms are Nd at (0.000, 0.000, 0.000), Nd at (0.000, 0.166, 0.250), Nd at (0.000, 0.273, 0.582), Nd at (0.000, 0.458, 0.160), As at (0.000, 0.091, 0.125), As at (0.000, 0.362, 0.041) and Pb at (0.000, 0.163, 0.750).


Density functional theory data (PBE-GGA) for a relaxed structure of Ca5Ta4O15.

For the density of states at the Fermi level, the calculation gives 0.0 states/eV per cell. For the energy above the most stable polymorph in this dataset, the calculation gives 0.74 eV/f.u. The uncorrected formation energy comes out at -2970.9 meV per atom.

The structure belongs to space group P-3m1 (No. 164); the cell edges are 5.6306, 5.6306 and 11.4666 Å and the angles 90.00°, 90.00° and 120.00°. The inequivalent atoms are Ca at (0.0000, 0.0000, 0.0000), Ca at (0.3333, 0.6667, 0.4561), Ca at (0.3333, 0.6667, 0.7604), Ta at (0.0000, 0.0000, 0.3174), Ta at (0.3333, 0.6667, 0.1043), O at (0.0000, 0.5000, 0.0000), O at (0.1626, 0.3253, 0.1939) and O at (0.1720, 0.3440, 0.6064).


Density functional theory data (PBE-GGA) for a relaxed structure of BeV2GeSb.

For the density of states at the Fermi level, the calculation gives 5.6 states/eV per cell. The uncorrected formation energy comes out at 508.3 meV per atom.

The structure belongs to space group P4/mmm (No. 123); the cell edges are 4.464, 4.464 and 3.906 Å and the angles 90.00°, 90.00° and 90.00°. The inequivalent atoms are Be at (0.000, 0.000, 0.000), V at (0.000, 0.500, 0.000), Ge at (0.000, 0.000, 0.500) and Sb at (0.500, 0.500, 0.500).


Density functional theory data (PBE-GGA) for a relaxed structure of Pm2PrHo.

For the density of states at the Fermi level, the calculation gives 11.6 states/eV per cell. For the energy above the most stable polymorph in this dataset, the calculation gives 0.00 eV/f.u. For the calculated formation energy, the calculation gives 6 kJ/mol of formula units.

The structure belongs to space group I-4m2 (No. 119); the cell edges are 5.154, 5.154 and 10.232 Å and the angles 90.00°, 90.00° and 90.00°. The inequivalent atoms are Pm at (0.000, 0.000, 0.000), Pm at (0.000, 0.500, 0.250), Pr at (0.000, 0.500, 0.750) and Ho at (0.000, 0.000, 0.500).


Density functional theory data (PBE-GGA) for a relaxed structure of SmMnSb2.

For the density of states at the Fermi level, the calculation gives 8.7 states/eV per cell. The uncorrected formation energy comes out at -394.6 meV per atom.

The structure belongs to space group R-3m (No. 166, hexagonal axes); the cell edges are 4.2664, 4.2664 and 19.6993 Å and the angles 90.00°, 90.00° and 120.00°. The inequivalent atoms are Sm at (0.0000, 0.0000, 0.0000), Mn at (0.0000, 0.0000, 0.5000) and Sb at (0.0000, 0.0000, 0.2348).